Entry 1:
The following is a DFT calculation (PBE) of an optimized crystal structure of AgAsO3.

Geometry as POSCAR:
```
AgAsO3
1.0
4.997 0.000 0.002
2.498 4.327 0.003
2.501 1.445 5.804
As O Ag
2 6 2
Direct
0.165 0.165 0.506
0.835 0.835 0.494
0.052 0.443 0.683
0.177 0.948 0.317
0.557 0.178 0.317
0.443 0.822 0.683
0.823 0.052 0.683
0.948 0.557 0.317
0.357 0.356 0.930
0.643 0.644 0.070
```

Output
energy relative to the elements, uncorrected = -0.852 eV per atom
SG = P-1
volume = 63 Å³/f.u.

=====

Entry 2:
The following is a DFT calculation (PBE) of an optimized crystal structure of AgAsO2.

Geometry as POSCAR:
```
AgAsO2
1.0
-5.138 -1.114 0.184
4.830 -1.637 -1.338
-1.799 -1.729 4.644
Ag As O
1 1 2
Direct
0.685 0.547 0.784
0.417 0.815 0.134
0.807 0.421 0.110
0.368 0.866 0.491
```

Output
energy relative to the elements, uncorrected = -0.707 eV per atom
SG = P1
volume = 71 Å³/f.u.

=====

Entry 3:
The following is a DFT calculation (PBE) of an optimized crystal structure of Ag3AsO3.

Geometry as POSCAR:
```
Ag3AsO3
1.0
-0.238 -4.706 2.398
6.746 -1.275 -1.833
-1.455 3.216 6.168
Ag As O
6 2 6
Direct
0.250 0.593 0.797
0.250 0.203 0.406
0.250 0.203 0.797
0.750 0.407 0.203
0.750 0.797 0.594
0.750 0.797 0.203
0.750 0.333 0.667
0.250 0.667 0.333
0.750 0.619 0.810
0.750 0.190 0.381
0.750 0.190 0.810
0.250 0.381 0.190
0.250 0.810 0.619
0.250 0.810 0.190
```

Output
energy relative to the elements, uncorrected = -0.313 eV per atom
SG = P6_3/mmc
volume = 116 Å³/f.u.

=====

Entry 4:
The following is a DFT calculation (PBE) of an optimized crystal structure of AgAsO2.

Geometry as POSCAR:
```
AgAsO2
1.0
-3.803 2.131 2.975
-5.048 -1.481 0.423
-0.760 -3.793 5.738
Ag As O
2 2 4
Direct
0.597 0.636 0.171
0.364 0.403 0.829
0.590 0.741 0.668
0.259 0.410 0.332
0.751 0.797 0.820
0.203 0.249 0.180
0.254 0.172 0.597
0.828 0.746 0.403
```

Output
energy relative to the elements, uncorrected = -0.809 eV per atom
SG = C2
volume = 70 Å³/f.u.

=====

Entry 5:
The following is a DFT calculation (PBE) of an optimized crystal structure of Ag2AsO4.

Geometry as POSCAR:
```
Ag2AsO4
1.0
2.957 0.000 0.000
0.000 6.066 -0.466
-1.479 -3.415 5.148
Ag As O
2 1 4
Direct
0.638 0.666 0.275
0.362 0.334 0.725
0.000 0.000 0.000
0.867 0.041 0.734
0.133 0.959 0.266
0.596 0.261 0.192
0.404 0.739 0.808
```

Output
energy relative to the elements, uncorrected = -0.507 eV per atom
SG = C2/m
volume = 88 Å³/f.u.

=====

Entry 6:
The following is a DFT calculation (PBE) of an optimized crystal structure of AgAsO2.

Geometry as POSCAR:
```
AgAsO2
1.0
0.000 2.877 2.877
2.877 0.000 2.877
2.877 2.877 0.000
As O Ag
1 2 1
Direct
0.000 0.000 0.000
0.250 0.250 0.250
0.750 0.750 0.750
0.500 0.500 0.500
```

Output
energy relative to the elements, uncorrected = 0.037 eV per atom
SG = Fm-3m
volume = 48 Å³/f.u.

=====

Entry 7:
The following is a DFT calculation (PBE) of an optimized crystal structure of AgAsO3.

Geometry as POSCAR:
```
AgAsO3
1.0
7.852 0.009 0.130
0.251 7.848 0.130
0.886 0.859 5.094
Ag As O
4 4 12
Direct
0.226 0.774 0.750
0.605 0.395 0.750
0.395 0.605 0.250
0.774 0.226 0.250
0.699 0.872 0.756
0.872 0.699 0.256
0.128 0.301 0.744
0.301 0.128 0.244
0.882 0.806 0.530
0.806 0.882 0.030
0.545 0.716 0.831
0.921 0.352 0.852
0.716 0.545 0.331
0.352 0.921 0.352
0.648 0.079 0.648
0.284 0.455 0.669
0.079 0.648 0.148
0.455 0.284 0.169
0.194 0.118 0.970
0.118 0.194 0.470
```

Output
energy relative to the elements, uncorrected = -0.815 eV per atom
SG = C2/c
volume = 78 Å³/f.u.

=====

Entry 8:
The following is a DFT calculation (PBE) of an optimized crystal structure of Ag2As2O7.

Geometry as POSCAR:
```
Ag2As2O7
1.0
4.900 -0.299 -0.432
-0.911 5.918 0.496
-0.911 -1.614 5.715
Ag As O
2 2 7
Direct
0.500 0.306 0.694
0.500 0.694 0.306
0.914 0.202 0.202
0.086 0.798 0.798
0.270 0.943 0.633
0.730 0.367 0.057
0.730 0.057 0.367
0.270 0.633 0.943
0.000 0.000 0.000
0.752 0.623 0.623
0.248 0.377 0.377
```

Output
energy relative to the elements, uncorrected = -0.724 eV per atom
SG = C2/m
volume = 165 Å³/f.u.